[1]
DFT (PBE-GGA) results for an optimized crystal structure of AcSiC2O8. Values from VASP.

Quantum ESPRESSO input file:
```
&SYSTEM
  ibrav = 0, nat = 12, ntyp = 4
/
ATOMIC_SPECIES
Ac 227.00 Ac.upf
Si 28.09 Si.upf
C 12.01 C.upf
O 16.00 O.upf
CELL_PARAMETERS angstrom
3.767 -2.346 0.000
3.767 2.346 0.000
-1.958 0.000 6.837
ATOMIC_POSITIONS crystal
Ac 0.000 0.000 0.000
Si 0.500 0.500 0.500
C 0.204 0.204 0.695
C 0.796 0.796 0.305
O 0.157 0.677 0.313
O 0.280 0.280 0.543
O 0.321 0.321 0.880
O 0.323 0.843 0.687
O 0.677 0.157 0.313
O 0.679 0.679 0.120
O 0.720 0.720 0.457
O 0.843 0.323 0.687
```

- Formation energy from raw total energies: -1.8489 eV per atom
- Density: 5.593 g cm⁻³
- Symmetry: C2/m, No. 12
- VASP energy: -7.486 eV per atom


[2]
DFT (PBE-GGA) results for an optimized crystal structure of Nd12Y6Ho. Values from VASP.

Quantum ESPRESSO input file:
```
&SYSTEM
  ibrav = 0, nat = 19, ntyp = 3
/
ATOMIC_SPECIES
Nd 144.24 Nd.upf
Y 88.91 Y.upf
Ho 164.93 Ho.upf
CELL_PARAMETERS angstrom
8.131 4.695 3.030
-8.131 4.695 3.030
0.000 -9.389 3.030
ATOMIC_POSITIONS crystal
Nd 0.000 0.390 0.610
Nd 0.000 0.610 0.390
Nd 0.241 0.241 0.498
Nd 0.241 0.498 0.241
Nd 0.390 0.000 0.610
Nd 0.390 0.610 0.000
Nd 0.498 0.241 0.241
Nd 0.502 0.759 0.759
Nd 0.610 0.000 0.390
Nd 0.610 0.390 0.000
Nd 0.759 0.502 0.759
Nd 0.759 0.759 0.502
Y 0.147 0.147 0.769
Y 0.147 0.769 0.147
Y 0.231 0.853 0.853
Y 0.769 0.147 0.147
Y 0.853 0.231 0.853
Y 0.853 0.853 0.231
Ho 0.500 0.500 0.500
```

- ΔE_f: 39.1 kJ per mole of atoms
- Density: 5.812 g cm⁻³
- E above lowest polymorph: 0.2731 eV per atom
- Symmetry: R-3m, No. 166
- VASP energy: -4.888 eV per atom